Crystalline Pm3NdSm4Te8 at its relaxed geometry, computed with PBE.

a = 8.930 Å, b = 8.910 Å, c = 8.924 Å
α = 120.00°, β = 120.02°, γ = 90.00°
Positions (direct):
1 Pm 0.500 0.500 0.000
2 Pm 0.500 0.500 0.500
3 Pm 0.000 0.500 0.500
4 Nd 0.000 0.500 0.000
5 Sm 0.500 0.000 0.000
6 Sm 0.500 0.000 0.500
7 Sm 0.000 0.000 0.000
8 Sm 0.000 0.000 0.500
9 Te 0.251 0.753 0.001
10 Te 0.252 0.753 0.503
11 Te 0.249 0.248 0.499
12 Te 0.750 0.753 0.001
13 Te 0.250 0.247 0.999
14 Te 0.751 0.752 0.501
15 Te 0.748 0.247 0.497
16 Te 0.749 0.247 0.999

***

Crystalline PmNd3Sm4Te8 at its relaxed geometry, computed with PBE.

a = 8.941 Å, b = 8.932 Å, c = 8.935 Å
α = 119.97°, β = 120.02°, γ = 90.00°
Positions (direct):
1 Pm 0.000 0.500 0.000
2 Nd 0.500 0.500 0.000
3 Nd 0.500 0.500 0.500
4 Nd 0.000 0.500 0.500
5 Sm 0.500 0.000 0.000
6 Sm 0.500 0.000 0.500
7 Sm 0.000 0.000 0.000
8 Sm 0.000 0.000 0.500
9 Te 0.251 0.754 0.003
10 Te 0.251 0.754 0.501
11 Te 0.248 0.245 0.497
12 Te 0.752 0.754 0.003
13 Te 0.248 0.246 0.997
14 Te 0.752 0.755 0.503
15 Te 0.749 0.246 0.499
16 Te 0.749 0.246 0.997

***

Crystalline Pm2NdSmTe5 at its relaxed geometry, computed with PBE.

a = 5.628 Å, b = 5.628 Å, c = 11.895 Å
α = 90.00°, β = 90.00°, γ = 90.00°
Site moments in Bohr magnetons follow the coordinates.
Positions (direct):
1 Pm 0.500 0.500 0.349  0.17
2 Pm 0.500 0.500 0.651  0.17
3 Nd 0.000 0.000 0.000  0.01
4 Sm 0.000 0.000 0.500  0.01
5 Te 0.000 0.500 0.500  0.00
6 Te 0.500 0.000 0.500  0.00
7 Te 0.000 0.000 0.752  0.00
8 Te 0.000 0.000 0.248  0.00
9 Te 0.500 0.500 0.000  0.02

***

Number 1: formation energy from raw total energies -1.39 eV/atom, final energy -5.332 eV per atom. Number 2: formation energy from raw total energies -1.40 eV/atom, final energy -5.338 eV per atom. Number 3: formation energy from raw total energies -0.75 eV/atom, final energy -4.608 eV per atom.